1.
A plane-wave DFT calculation with PBE was carried out for an optimized crystal structure of Mg2Np2Ni15.

Unit cell a=6.3289 b=6.3289 c=6.3289 alpha=82.41 beta=82.41 gamma=82.41
With the nearest neighbours (Å) after each atom.
Fractional coordinates of all 19 atoms:
1 Np 0.6470 0.6470 0.6470  12 Ni 2.89-3.06, 1 Mg 3.08
2 Np 0.3530 0.3530 0.3530  12 Ni 2.89-3.06, 1 Mg 3.08
3 Ni 0.8385 0.3470 0.3470  8 Ni 2.38-2.55, 1 Mg 2.61
4 Ni 0.6530 0.1615 0.6530  8 Ni 2.38-2.55, 1 Mg 2.61
5 Ni 0.3470 0.8385 0.3470  8 Ni 2.38-2.55, 1 Mg 2.61
6 Ni 0.0000 0.0000 0.5000  8 Ni 2.43, 2 Mg 2.53
7 Ni 0.5000 0.0000 0.0000  8 Ni 2.43, 2 Mg 2.53
8 Ni 0.0000 0.5000 0.0000  8 Ni 2.43, 2 Mg 2.53
9 Ni 0.0000 0.6901 0.3099  8 Ni 2.43-2.58
10 Ni 0.3470 0.3470 0.8385  8 Ni 2.38-2.55, 1 Mg 2.61
11 Ni 0.3099 0.6901 0.0000  8 Ni 2.43-2.58
12 Ni 0.6901 0.0000 0.3099  8 Ni 2.43-2.58
13 Ni 0.6901 0.3099 0.0000  8 Ni 2.43-2.58
14 Ni 0.1615 0.6530 0.6530  8 Ni 2.38-2.55, 1 Mg 2.61
15 Ni 0.6530 0.6530 0.1615  8 Ni 2.38-2.55, 1 Mg 2.61
16 Ni 0.3099 0.0000 0.6901  8 Ni 2.43-2.58
17 Ni 0.0000 0.3099 0.6901  8 Ni 2.43-2.58
18 Mg 0.1030 0.1030 0.1030  6 Ni 2.53-2.61, 1 Mg 2.54
19 Mg 0.8970 0.8970 0.8970  6 Ni 2.53-2.61, 1 Mg 2.54

relative energy among the computed polymorphs = 0 meV/atom
energy of formation from the pure elements = -100 meV per atom
crystal system = trigonal

2.
A plane-wave DFT calculation with PBE was carried out for an optimized crystal structure of Mg2Np2Ni15.

Unit cell a=6.3544 b=6.3544 c=6.3544 alpha=81.63 beta=81.63 gamma=81.63
With the nearest neighbours (Å) after each atom.
Fractional coordinates of all 19 atoms:
1 Np 0.9078 0.9078 0.9078  1 Np 2.31, 3 Ni 2.57
2 Np 0.0922 0.0922 0.0922  1 Np 2.31, 3 Ni 2.57
3 Ni 0.8329 0.3424 0.3424  8 Ni 2.36-2.55
4 Ni 0.6745 0.3255 0.0000  8 Ni 2.48-2.70
5 Ni 0.0000 0.5000 0.0000  8 Ni 2.42-2.49, 2 Np 2.57
6 Ni 0.0000 0.0000 0.5000  8 Ni 2.42-2.49, 2 Np 2.57
7 Ni 0.3424 0.8329 0.3424  8 Ni 2.36-2.55
8 Ni 0.1671 0.6576 0.6576  8 Ni 2.36-2.55
9 Ni 0.0000 0.3255 0.6745  8 Ni 2.48-2.70
10 Ni 0.5000 0.0000 0.0000  8 Ni 2.42-2.49, 2 Np 2.57
11 Ni 0.6576 0.1671 0.6576  8 Ni 2.36-2.55
12 Ni 0.3424 0.3424 0.8329  8 Ni 2.36-2.55
13 Ni 0.3255 0.6745 0.0000  8 Ni 2.48-2.70
14 Ni 0.0000 0.6745 0.3255  8 Ni 2.48-2.70
15 Ni 0.6745 0.0000 0.3255  8 Ni 2.48-2.70
16 Ni 0.3255 0.0000 0.6745  8 Ni 2.48-2.70
17 Ni 0.6576 0.6576 0.1671  8 Ni 2.36-2.55
18 Mg 0.3660 0.3660 0.3660  12 Ni 2.83-2.93
19 Mg 0.6340 0.6340 0.6340  12 Ni 2.83-2.93

relative energy among the computed polymorphs = 51 meV/atom
energy of formation from the pure elements = -49 meV per atom
crystal system = trigonal

no.,magnetization (μB/cell),final energy (eV per atom)
1,2.80,-6.19
2,1.97,-6.14